# 1
AcCdHgPt, relaxed, DFT PBE; total magnetization = 0.000 μB/atom; symmetry = F-43m, No. 216; DFT formation energy = -2.0 eV per formula unit; theoretical density = 12.08 Mg/m³
1.0
0.000 3.697 3.697
3.697 0.000 3.697
3.697 3.697 0.000
Ac Cd Hg Pt
1 1 1 1
Cartesian
0.000 0.000 0.000 Ac
3.697 3.697 3.697 Cd
5.545 5.545 5.545 Hg
1.848 1.848 1.848 Pt

# 2
AcPuCd2Hg4, relaxed, DFT PBE; total magnetization = 0.707 μB/atom; symmetry = R-3m, No. 166; DFT formation energy = -2.2 eV per formula unit; theoretical density = 11.93 Mg/m³
1.0
2.632 1.520 8.688
-2.632 1.520 8.688
0.000 -3.039 8.688
Ac Pu Cd Hg
1 1 2 4
Cartesian
0.000 0.000 0.000 Ac
0.000 0.000 13.032 Pu
0.000 0.000 6.483 Cd
0.000 0.000 19.581 Cd
0.000 0.000 3.358 Hg
0.000 0.000 9.914 Hg
0.000 0.000 16.150 Hg
0.000 0.000 22.706 Hg

# 3
Ac2CdHg4Rh2, relaxed, DFT PBE; total magnetization = 0.000 μB/atom; symmetry = C2/m, No. 12; DFT formation energy = -3.5 eV per formula unit; theoretical density = 11.72 Mg/m³
1.0
6.532 -2.225 0.000
6.532 2.225 0.000
-1.229 0.000 7.675
Ac Cd Hg Rh
2 1 4 2
Cartesian
1.955 0.000 1.030 Ac
9.879 0.000 6.646 Ac
-0.614 0.000 3.838 Cd
3.790 0.000 4.021 Hg
5.621 0.000 1.408 Hg
6.213 0.000 6.267 Hg
8.044 0.000 3.655 Hg
1.440 0.000 5.726 Rh
10.394 0.000 1.950 Rh

# 4
Ac2CdHgRh, relaxed, DFT PBE; total magnetization = 0.000 μB/atom; symmetry = P2_1/m, No. 11; DFT formation energy = -2.7 eV per formula unit; theoretical density = 9.79 Mg/m³
1.0
8.645 0.000 0.000
0.000 4.305 0.000
-3.454 0.000 7.933
Ac Cd Hg Rh
4 2 2 2
Cartesian
-0.186 1.076 2.788 Ac
-1.018 1.076 7.853 Ac
6.210 3.229 0.079 Ac
5.377 3.229 5.144 Ac
2.651 3.229 2.804 Cd
2.540 1.076 5.128 Cd
0.248 3.229 5.478 Hg
4.943 1.076 2.454 Hg
0.594 3.229 0.861 Rh
4.597 1.076 7.071 Rh

# 5
Ac2CdHgRu, relaxed, DFT PBE; total magnetization = 0.000 μB/atom; symmetry = P2_1/m, No. 11; DFT formation energy = -1.6 eV per formula unit; theoretical density = 9.79 Mg/m³
1.0
8.661 0.000 0.000
0.000 4.271 0.000
-3.754 0.000 7.963
Ac Cd Hg Ru
4 2 2 2
Cartesian
-0.746 1.068 1.699 Ac
0.688 3.203 4.923 Ac
4.220 1.068 3.040 Ac
5.654 3.203 6.264 Ac
-0.465 1.068 7.468 Cd
5.372 3.203 0.495 Cd
1.965 3.203 1.566 Hg
2.943 1.068 6.397 Hg
-1.468 1.068 4.721 Ru
6.376 3.203 3.242 Ru

# 6
AcCdHgSb, relaxed, DFT PBE; total magnetization = 0.000 μB/atom; symmetry = F-43m, No. 216; raw formation energy = -415 meV/atom; theoretical density = 9.18 Mg/m³
1.0
0.000 3.911 3.911
3.911 0.000 3.911
3.911 3.911 0.000
Ac Cd Hg Sb
1 1 1 1
Cartesian
0.000 0.000 0.000 Ac
3.911 3.911 3.911 Cd
1.956 1.956 1.956 Hg
5.867 5.867 5.867 Sb

# 7
Ac2ScCdHg6, relaxed, DFT PBE; total magnetization = 0.000 μB/atom; symmetry = Fm-3m, No. 225; DFT formation energy = -1.1 eV per formula unit; theoretical density = 9.64 Mg/m³
1.0
0.000 5.387 5.387
5.387 0.000 5.387
5.387 5.387 0.000
Ac Sc Cd Hg
2 1 1 6
Cartesian
2.693 2.693 2.693 Ac
8.080 8.080 8.080 Ac
0.000 0.000 0.000 Sc
5.387 5.387 5.387 Cd
5.387 5.387 2.676 Hg
5.387 2.676 5.387 Hg
8.097 5.387 5.387 Hg
2.676 5.387 5.387 Hg
5.387 8.097 5.387 Hg
5.387 5.387 8.097 Hg

# 8
AcSm2CdHg4, relaxed, DFT PBE; total magnetization = 0.000 μB/atom; symmetry = R-3m, No. 166; DFT formation energy = -3.3 eV per formula unit; theoretical density = 10.61 Mg/m³
1.0
2.598 1.500 9.651
-2.598 1.500 9.651
0.000 -3.000 9.651
Ac Sm Cd Hg
1 2 1 4
Cartesian
0.000 0.000 0.000 Ac
0.000 0.000 6.794 Sm
0.000 0.000 22.159 Sm
0.000 0.000 14.477 Cd
0.000 0.000 3.607 Hg
0.000 0.000 11.196 Hg
0.000 0.000 17.757 Hg
0.000 0.000 25.347 Hg